Density functional theory data (GGA-PBE) for an optimized crystal structure of LiTbBi2Se4.

SG   No. 10
Final energy   -4.3534 eV/atom
Mass density   6469 kg/m³

Geometry as POSCAR:
```
LiTbBi2Se4
1.0
7.715 0.000 0.000
0.000 4.065 0.000
-2.386 0.000 7.363
Li Tb Bi Se
1 1 2 4
direct
0.000 0.000 0.000
0.500 0.500 0.500
0.000 0.000 0.500
0.500 0.500 0.000
0.117 0.500 0.276
0.388 0.000 0.712
0.612 0.000 0.288
0.883 0.500 0.724
```



Density functional theory data (GGA-PBE) for an optimized crystal structure of Li3TbBi2Se6.

SG   No. 12
Final energy   -4.3000 eV/atom
Mass density   6104 kg/m³

Geometry as POSCAR:
```
Li3TbBi2Se6
1.0
3.572 -6.203 0.000
3.572 6.203 0.000
-2.372 0.000 6.577
Li Tb Bi Se
3 1 2 6
direct
0.000 0.000 0.000
0.321 0.679 0.000
0.679 0.321 0.000
0.500 0.500 0.500
0.165 0.835 0.500
0.835 0.165 0.500
0.086 0.414 0.240
0.258 0.258 0.761
0.414 0.086 0.240
0.586 0.914 0.760
0.742 0.742 0.239
0.914 0.586 0.760
```



Density functional theory data (GGA-PBE) for an optimized crystal structure of Li2Th2Bi2Se.

SG   No. 139
Final energy   -5.0643 eV/atom
Mass density   8575 kg/m³

Geometry as POSCAR:
```
Li2Th2Bi2Se
1.0
-2.325 2.325 8.732
2.325 -2.325 8.732
2.325 2.325 -8.732
Li Th Bi Se
2 2 2 1
direct
0.000 0.500 0.500
0.500 0.000 0.500
0.171 0.171 0.000
0.829 0.829 0.000
0.361 0.361 0.000
0.639 0.639 0.000
0.000 0.000 0.000
```



Density functional theory data (GGA-PBE) for an optimized crystal structure of LiTl3Bi2Se6.

SG   No. 12
Final energy   -3.5864 eV/atom
Mass density   7531 kg/m³

Geometry as POSCAR:
```
LiTl3Bi2Se6
1.0
3.675 -6.356 0.000
3.675 6.356 0.000
-2.450 0.000 7.136
Li Tl Bi Se
1 3 2 6
direct
0.000 0.000 0.000
0.169 0.831 0.500
0.500 0.500 0.500
0.831 0.169 0.500
0.335 0.665 0.000
0.665 0.335 0.000
0.077 0.401 0.227
0.252 0.252 0.776
0.401 0.077 0.227
0.599 0.923 0.773
0.748 0.748 0.224
0.923 0.599 0.773
```



Density functional theory data (GGA-PBE) for an optimized crystal structure of LiTlBiSe3.

SG   No. 11
Final energy   -3.5901 eV/atom
Mass density   6707 kg/m³

Geometry as POSCAR:
```
LiTlBiSe3
1.0
8.433 0.000 0.000
0.000 4.138 0.000
-2.023 0.000 9.324
Li Tl Bi Se
2 2 2 6
direct
0.076 0.250 0.092
0.924 0.750 0.908
0.212 0.250 0.777
0.788 0.750 0.223
0.317 0.750 0.341
0.683 0.250 0.659
0.084 0.250 0.363
0.230 0.750 0.028
0.428 0.750 0.659
0.572 0.250 0.341
0.770 0.250 0.972
0.916 0.750 0.637
```



Density functional theory data (GGA-PBE) for an optimized crystal structure of Li2TmBiSe4.

SG   No. 10
Final energy   -4.4672 eV/atom
Mass density   6192 kg/m³

Geometry as POSCAR:
```
Li2TmBiSe4
1.0
6.964 0.000 0.000
0.000 4.078 0.000
-2.425 0.000 6.683
Li Tm Bi Se
2 1 1 4
direct
0.000 0.000 0.000
0.000 0.500 0.500
0.500 0.000 0.500
0.500 0.500 0.000
0.240 0.000 0.736
0.248 0.500 0.257
0.752 0.500 0.743
0.760 0.000 0.264
```



Density functional theory data (GGA-PBE) for an optimized crystal structure of LiTmBi2Se4.

SG   No. 10
Final energy   -4.3243 eV/atom
Mass density   6656 kg/m³

Geometry as POSCAR:
```
LiTmBi2Se4
1.0
7.604 0.000 0.000
0.000 4.031 0.000
-2.465 0.000 7.405
Li Tm Bi Se
1 1 2 4
direct
0.000 0.000 0.000
0.500 0.500 0.500
0.000 0.000 0.500
0.500 0.500 0.000
0.119 0.500 0.277
0.396 0.000 0.710
0.604 0.000 0.290
0.881 0.500 0.723
```



Density functional theory data (GGA-PBE) for an optimized crystal structure of Li2UBiSe4.

SG   No. 10
Final energy   -5.0393 eV/atom
Mass density   6621 kg/m³

Geometry as POSCAR:
```
Li2UBiSe4
1.0
6.976 0.000 0.000
0.000 4.127 0.000
-2.488 0.000 6.766
Li U Bi Se
2 1 1 4
direct
0.000 0.000 0.000
0.000 0.500 0.500
0.500 0.000 0.500
0.500 0.500 0.000
0.237 0.000 0.739
0.240 0.500 0.252
0.760 0.500 0.748
0.763 0.000 0.261
```



Density functional theory data (GGA-PBE) for an optimized crystal structure of Li2YBiSe4.

SG   No. 10
Final energy   -4.7241 eV/atom
Mass density   5422 kg/m³

Geometry as POSCAR:
```
Li2YBiSe4
1.0
6.975 0.000 0.000
0.000 4.106 0.000
-2.449 0.000 6.713
Li Y Bi Se
2 1 1 4
direct
0.000 0.000 0.000
0.000 0.500 0.500
0.500 0.000 0.500
0.500 0.500 0.000
0.238 0.000 0.739
0.245 0.500 0.253
0.755 0.500 0.747
0.762 0.000 0.261
```



Density functional theory data (GGA-PBE) for an optimized crystal structure of Li3Y2BiSe6.

SG   No. 12
Final energy   -4.9962 eV/atom
Mass density   5124 kg/m³

Geometry as POSCAR:
```
Li3Y2BiSe6
1.0
3.552 -6.154 0.000
3.552 6.154 0.000
-2.372 0.000 6.533
Li Y Bi Se
3 2 1 6
direct
0.000 0.000 0.000
0.340 0.660 0.000
0.660 0.340 0.000
0.167 0.833 0.500
0.833 0.167 0.500
0.500 0.500 0.500
0.075 0.414 0.243
0.246 0.246 0.757
0.414 0.075 0.243
0.586 0.925 0.757
0.754 0.754 0.243
0.925 0.586 0.757
```



Density functional theory data (GGA-PBE) for an optimized crystal structure of Li3YBi2Se6.

SG   No. 12
Final energy   -4.4553 eV/atom
Mass density   5717 kg/m³

Geometry as POSCAR:
```
Li3YBi2Se6
1.0
3.570 -6.199 0.000
3.570 6.199 0.000
-2.373 0.000 6.571
Li Y Bi Se
3 1 2 6
direct
0.000 0.000 0.000
0.321 0.679 0.000
0.679 0.321 0.000
0.500 0.500 0.500
0.165 0.835 0.500
0.835 0.165 0.500
0.087 0.414 0.240
0.259 0.259 0.761
0.414 0.087 0.240
0.586 0.913 0.760
0.741 0.741 0.239
0.913 0.586 0.760
```



Density functional theory data (GGA-PBE) for an optimized crystal structure of Li4Y3BiSe8.

SG   No. 166
Final energy   -5.1312 eV/atom
Mass density   4971 kg/m³

Geometry as POSCAR:
```
Li4Y3BiSe8
1.0
4.096 2.365 6.525
-4.096 2.365 6.525
0.000 -4.730 6.525
Li Y Bi Se
4 3 1 8
direct
0.000 0.000 0.000
0.000 0.500 0.500
0.500 0.000 0.500
0.500 0.500 0.000
0.000 0.000 0.500
0.000 0.500 0.000
0.500 0.000 0.000
0.500 0.500 0.500
0.245 0.245 0.753
0.245 0.753 0.245
0.247 0.755 0.755
0.251 0.251 0.251
0.749 0.749 0.749
0.753 0.245 0.245
0.755 0.247 0.755
0.755 0.755 0.247
```



For each record above, in turn, the calculated energy relative to the elements, uncorrected values are -0.82, -1.05, -0.79, -0.45, -0.49, -1.20, -0.81, -0.92, -1.21, -1.37, -1.05, -1.46 eV per atom.